First-principles (GGA-PBE) data for crystalline TbNiSn at its relaxed geometry, as listed in Alexandria.

The calculation puts the energy of formation at -674 meV/atom.

It has space group Pnma (No. 62), with a = 7.194 Å, b = 4.485 Å, c = 7.689 Å, α = 90.00°, β = 90.00° and γ = 90.00°. The distinct sites, in fractional coordinates, are Tb at (0.015, 0.250, 0.199), Ni at (0.202, 0.750, 0.413) and Sn at (0.186, 0.250, 0.586).